Material: Na5P4
Method: DFT, PBE
State: relaxed

Results
ΔE_f (meV/atom): -379

Cell and atoms, written as CIF:
```
data_Na5P4
_chemical_formula_sum 'Na10 P8'
_cell_length_a 10.226
_cell_length_b 4.523
_cell_length_c 9.137
_cell_angle_alpha 90.00
_cell_angle_beta 111.00
_cell_angle_gamma 90.00
_symmetry_space_group_name_H-M 'C 1 2/m 1'
_symmetry_Int_Tables_number 12
loop_
_symmetry_equiv_pos_as_xyz
'x,y,z'
'-x,-y,-z'
'-x,y,-z'
'x,-y,z'
'x+1/2,y+1/2,z'
'-x+1/2,-y+1/2,-z'
'-x+1/2,y+1/2,-z'
'x+1/2,-y+1/2,z'
loop_
_atom_site_label
_atom_site_type_symbol
_atom_site_fract_x
_atom_site_fract_y
_atom_site_fract_z
_atom_site_occupancy
Na1 Na 0.000 0.000 0.000 1
Na2 Na 0.110 0.000 0.393 1
Na3 Na 0.246 0.000 0.835 1
P1 P 0.043 0.500 0.818 1
P2 P 0.097 0.500 0.606 1
```


Material: AlCoP3
Method: DFT, PBE
State: relaxed

Results
E above lowest polymorph (eV per formula unit): 0.00
ΔE_f (meV/atom): 550

Cell and atoms, written as CIF:
```
data_AlCoP3
_chemical_formula_sum 'Al1 Co1 P3'
_cell_length_a 4.376
_cell_length_b 4.376
_cell_length_c 4.376
_cell_angle_alpha 90.00
_cell_angle_beta 90.00
_cell_angle_gamma 90.00
_symmetry_space_group_name_H-M 'P m -3 m'
_symmetry_Int_Tables_number 221
_symmetry_space_group_name_Hall '-P 4 2 3'
loop_
_atom_site_label
_atom_site_type_symbol
_atom_site_fract_x
_atom_site_fract_y
_atom_site_fract_z
_atom_site_occupancy
Al1 Al 0.000 0.000 0.000 1
Co1 Co 0.500 0.500 0.500 1
P1 P 0.000 0.500 0.500 1
```


Material: La2ZnHgO5
Method: DFT, PBE
State: relaxed

Results
E_form (uncorrected) (eV/f.u.): -18.100

Cell and atoms, written as CIF:
```
data_La2ZnHgO5
_chemical_formula_sum 'La4 Zn2 Hg2 O10'
_cell_length_a 6.964
_cell_length_b 6.964
_cell_length_c 5.789
_cell_angle_alpha 90.00
_cell_angle_beta 90.00
_cell_angle_gamma 90.00
_symmetry_space_group_name_H-M 'P 4/m b m'
_symmetry_Int_Tables_number 127
_symmetry_space_group_name_Hall '-P 4 2ab'
loop_
_atom_site_label
_atom_site_type_symbol
_atom_site_fract_x
_atom_site_fract_y
_atom_site_fract_z
_atom_site_occupancy
La1 La 0.176 0.324 0.000 1
Zn1 Zn 0.000 0.500 0.500 1
Hg1 Hg 0.000 0.000 0.500 1
O1 O 0.000 0.000 0.000 1
O2 O 0.136 0.636 0.252 1
```


Material: Y4GaCuAg2
Method: DFT, PBE
State: relaxed

Results
ΔE_f (meV/atom): -370

Cell and atoms, written as CIF:
```
data_Y4GaCuAg2
_chemical_formula_sum 'Y12 Ga3 Cu3 Ag6'
_cell_length_a 5.0858
_cell_length_b 5.0858
_cell_length_c 24.9762
_cell_angle_alpha 90.00
_cell_angle_beta 90.00
_cell_angle_gamma 120.00
_symmetry_space_group_name_H-M 'R -3 m'
_symmetry_Int_Tables_number 166
_symmetry_space_group_name_Hall '-R 3 2"'
loop_
_atom_site_label
_atom_site_type_symbol
_atom_site_fract_x
_atom_site_fract_y
_atom_site_fract_z
_atom_site_occupancy
Y1 Y 0.0000 0.0000 0.1227 1
Y2 Y 0.0000 0.0000 0.3729 1
Ga1 Ga 0.0000 0.0000 0.5000 1
Cu1 Cu 0.0000 0.0000 0.0000 1
Ag1 Ag 0.0000 0.0000 0.2483 1
```


Number 1: spin magnetization 0.0 μB per formula unit. Number 2: spin magnetization 0.0 μB per formula unit. Number 3: spin magnetization 0.3 μB per formula unit. Number 4: spin magnetization 0.0 μB per formula unit.